(1)
VASP calculation (PBE) on LiGdO2 after structural relaxation.

abc: 4.506 4.506 10.872
angles: 90.00 90.00 90.00
Space group I4_1/amd (No. 141, origin choice 2)
Asymmetric unit:
Li 0.000 0.250 0.375 [4 per cell]
Gd 0.000 0.250 0.875 [4 per cell]
O 0.000 0.250 0.094 [8 per cell]

- Density: 5.90 g/cm3
- ΔE to the lowest computed polymorph: 39 meV per atom
- Total energy: -148.81 eV for the cell shown
- DOS at the Fermi energy: 0.00 states/eV per cell
- Formation energy from raw total energies: -2.82 eV per atom

(2)
VASP calculation (PBE) on LiGdO2 after structural relaxation.

abc: 11.432 3.450 5.367
angles: 90.00 90.00 90.00
Space group Pnma (No. 62)
Asymmetric unit:
Li 0.065 0.250 0.097 [4 per cell]
Gd 0.141 0.750 0.546 [4 per cell]
O 0.027 0.250 0.744 [4 per cell]
O 0.204 0.250 0.304 [4 per cell]

- Density: 6.16 g/cm3
- ΔE to the lowest computed polymorph: 0 meV per atom
- Total energy: -149.44 eV for the cell shown
- DOS at the Fermi energy: 0.00 states/eV per cell
- Formation energy from raw total energies: -2.86 eV per atom

(3)
VASP calculation (PBE) on LiGd3O after structural relaxation.

abc: 4.886 4.886 4.886
angles: 90.00 90.00 90.00
Space group Pm-3m (No. 221)
Asymmetric unit:
Li 0.000 0.000 0.000 [1 per cell]
Gd 0.000 0.500 0.500 [3 per cell]
O 0.500 0.500 0.500 [1 per cell]

- Density: 7.04 g/cm3
- Total energy: -54.27 eV for the cell shown
- DOS at the Fermi energy: 6.02 states/eV per cell
- Formation energy from raw total energies: -1.03 eV per atom

(4)
VASP calculation (PBE) on LiGdP4O12 after structural relaxation.

abc: 16.547 7.152 9.795
angles: 90.00 126.22 90.00
Space group C2/c (No. 15)
Asymmetric unit:
Li 0.000 0.205 0.250 [4 per cell]
Gd 0.000 0.295 0.750 [4 per cell]
P 0.138 0.053 0.616 [8 per cell]
P 0.146 0.348 0.195 [8 per cell]
O 0.067 0.006 0.430 [8 per cell]
O 0.073 0.413 0.228 [8 per cell]
O 0.113 0.213 0.684 [8 per cell]
O 0.125 0.385 0.027 [8 per cell]
O 0.157 0.125 0.231 [8 per cell]
O 0.245 0.081 0.651 [8 per cell]

- Density: 3.41 g/cm3
- Total energy: -565.11 eV for the cell shown
- DOS at the Fermi energy: 0.00 states/eV per cell
- Formation energy from raw total energies: -2.45 eV per atom

(5)
VASP calculation (PBE) on LiGd2RuO6 after structural relaxation.

abc: 5.375 5.778 9.321
angles: 90.00 124.45 90.00
Space group P2_1/c (No. 14)
Asymmetric unit:
Li 0.000 0.000 0.000 [2 per cell]
Gd 0.228 0.076 0.748 [4 per cell]
Ru 0.500 0.000 0.500 [2 per cell]
O 0.146 0.182 0.447 [4 per cell]
O 0.264 0.708 0.439 [4 per cell]
O 0.370 0.041 0.256 [4 per cell]

- Density: 7.21 g/cm3
- Total energy: -186.18 eV for the cell shown
- DOS at the Fermi energy: 0.37 states/eV per cell
- Formation energy from raw total energies: -2.40 eV per atom

(6)
VASP calculation (PBE) on LiGdS2O8 after structural relaxation.

abc: 7.639 7.639 6.078
angles: 90.00 90.00 90.00
Space group P-4n2 (No. 118)
Asymmetric unit:
Li 0.000 0.500 0.250 [2 per cell]
Gd 0.000 0.500 0.750 [2 per cell]
S 0.222 0.278 0.250 [4 per cell]
O 0.095 0.322 0.068 [8 per cell]
O 0.095 0.796 0.671 [8 per cell]

- Density: 3.34 g/cm3
- Total energy: -174.04 eV for the cell shown
- DOS at the Fermi energy: 0.00 states/eV per cell
- Formation energy from raw total energies: -1.93 eV per atom